## Li5AcGe2 (PBE-GGA)

Data for a relaxed Li5AcGe2 crystal.

Unit cell a=4.4582 b=7.8949 c=9.8420 alpha=90.00 beta=90.00 gamma=90.00
Atoms (fractional coordinates):
Li (0.0000, 0.0000, 0.0000)
Li (0.0000, 0.3259, 0.3218)
Li (0.0000, 0.3259, 0.6782)
Li (0.0000, 0.6741, 0.3218)
Li (0.0000, 0.6741, 0.6782)
Li (0.5000, 0.1741, 0.1782)
Li (0.5000, 0.1741, 0.8218)
Li (0.5000, 0.5000, 0.5000)
Li (0.5000, 0.8259, 0.1782)
Li (0.5000, 0.8259, 0.8218)
Ac (0.0000, 0.5000, 0.0000)
Ac (0.5000, 0.0000, 0.5000)
Ge (0.0000, 0.0000, 0.2585)
Ge (0.0000, 0.0000, 0.7415)
Ge (0.5000, 0.5000, 0.2415)
Ge (0.5000, 0.5000, 0.7585)

Its space-group type is Immm. The calculated volume comes out at 21.651 Å³/atom. As for the calculated density: 3.9 Mg/m³. The formation energy comes out at -2.77 eV/f.u. Its crystal system is orthorhombic. Its raw total energy is -3.211 eV per atom. The value obtained for the total magnetic moment is 0.000 μB/atom. The value obtained for the density of states at the Fermi level is 5.16 states/eV per cell.

=====

## ScSbRh2 (PBE-GGA)

Data for a relaxed ScSbRh2 crystal.

Unit cell a=9.4687 b=3.4201 c=4.4513 alpha=90.00 beta=105.33 gamma=90.00
Atoms (fractional coordinates):
Sc (0.0000, 0.0000, 0.0000)
Sc (0.5000, 0.5000, 0.0000)
Sb (0.2380, 0.0000, 0.6305)
Sb (0.7380, 0.5000, 0.6305)
Rh (0.0056, 0.5000, 0.5083)
Rh (0.2366, 0.5000, 0.1260)
Rh (0.5056, 0.0000, 0.5083)
Rh (0.7366, 0.0000, 0.1260)

Its space-group type is Cm. The calculated volume comes out at 17.378 Å³/atom. As for the calculated density: 8.9 Mg/m³. Its crystal system is monoclinic. Its raw total energy is -7.039 eV per atom. The value obtained for the total magnetic moment is 0.000 μB/atom. The value obtained for the density of states at the Fermi level is 3.43 states/eV per cell. As for the formation energy (no corrections): -0.749 eV/atom.